[1]
A plane-wave DFT calculation with PBE was carried out for a relaxed PrInNiS3 crystal.

## Properties
theoretical density = 5.112 g/cm³
crystal system = orthorhombic
calculated total energy = -61.881 eV for the cell shown

abc: 6.8985 6.8985 10.6991
angles: 90.00 90.00 148.40
Fractional coordinates of all 12 atoms:
Pr 0.0000 0.0000 0.0000
Pr 0.0000 0.0000 0.5000
In 0.2473 0.7527 0.7500
In 0.7527 0.2473 0.2500
Ni 0.4765 0.5235 0.2500
Ni 0.5235 0.4765 0.7500
S 0.0782 0.9218 0.2500
S 0.3589 0.6411 0.0942
S 0.3589 0.6411 0.4058
S 0.6411 0.3589 0.5942
S 0.6411 0.3589 0.9058
S 0.9218 0.0782 0.7500

=====

[2]
A plane-wave DFT calculation with PBE was carried out for a relaxed BaZrNp crystal.

## Properties
energy above the most stable polymorph in this dataset = 254 meV/atom
theoretical density = 8.997 g/cm³
crystal system = cubic

abc: 4.9532 4.9532 4.9532
angles: 60.00 60.00 60.00
Fractional coordinates of all 3 atoms:
Ba 0.0000 0.0000 0.0000
Zr 0.2500 0.2500 0.2500
Np 0.7500 0.7500 0.7500

=====

no.,magnetic moment (μB per cell)
1,0.821
2,5.200